{"formula": "Mn4P2O9", "functional": "GGA+U", "state": "relaxed", "e_tot_ev_per_atom": -7.731, "lattice": [[6.7693, 0.0000, 0.0000], [0.0000, 11.7109, 0.0000], [-2.2543, 0.0000, 9.3813]], "species": ["Mn", "Mn", "Mn", "Mn", "Mn", "Mn", "Mn", "Mn", "Mn", "Mn", "Mn", "Mn", "Mn", "Mn", "Mn", "Mn", "P", "P", "P", "P", "P", "P", "P", "P", "O", "O", "O", "O", "O", "O", "O", "O", "O", "O", "O", "O", "O", "O", "O", "O", "O", "O", "O", "O", "O", "O", "O", "O", "O", "O", "O", "O", "O", "O", "O", "O", "O", "O", "O", "O"], "frac_coords": [[0.0334, 0.1297, 0.3188], [0.0334, 0.3703, 0.8188], [0.2630, 0.1193, 0.7482], [0.2630, 0.3807, 0.2482], [0.3153, 0.6040, 0.4648], [0.3153, 0.8960, 0.9648], [0.4578, 0.6034, 0.1193], [0.4578, 0.8966, 0.6193], [0.5422, 0.1034, 0.3807], [0.5422, 0.3966, 0.8807], [0.6847, 0.1040, 0.0352], [0.6847, 0.3960, 0.5352], [0.7370, 0.6193, 0.7518], [0.7370, 0.8807, 0.2518], [0.9666, 0.6297, 0.1812], [0.9666, 0.8703, 0.6812], [0.2043, 0.1733, 0.0729], [0.2043, 0.3267, 0.5729], [0.2624, 0.6305, 0.8129], [0.2624, 0.8695, 0.3129], [0.7376, 0.1305, 0.6871], [0.7376, 0.3695, 0.1871], [0.7957, 0.6733, 0.4271], [0.7957, 0.8267, 0.9271], [0.0062, 0.1120, 0.0797], [0.0062, 0.3880, 0.5797], [0.0444, 0.6688, 0.7435], [0.0444, 0.8312, 0.2435], [0.1750, 0.2030, 0.5144], [0.1750, 0.2970, 0.0144], [0.2531, 0.5577, 0.2340], [0.2531, 0.9423, 0.7340], [0.2730, 0.5099, 0.8884], [0.2730, 0.9901, 0.3884], [0.3165, 0.1921, 0.2342], [0.3165, 0.3079, 0.7342], [0.3342, 0.0986, 0.9926], [0.3342, 0.4014, 0.4926], [0.3597, 0.7125, 0.9385], [0.3597, 0.7875, 0.4385], [0.3933, 0.6247, 0.7002], [0.3933, 0.8753, 0.2002], [0.6067, 0.1247, 0.7998], [0.6067, 0.3753, 0.2998], [0.6403, 0.2125, 0.5615], [0.6403, 0.2875, 0.0615], [0.6658, 0.5986, 0.5074], [0.6658, 0.9014, 0.0074], [0.6835, 0.6921, 0.2658], [0.6835, 0.8079, 0.7658], [0.7270, 0.0099, 0.6116], [0.7270, 0.4901, 0.1116], [0.7469, 0.0577, 0.2660], [0.7469, 0.4423, 0.7660], [0.8250, 0.7030, 0.9856], [0.8250, 0.7970, 0.4856], [0.9556, 0.1688, 0.7565], [0.9556, 0.3312, 0.2565], [0.9938, 0.6120, 0.4203], [0.9938, 0.8880, 0.9203]]}

---

{"formula": "Mn3PO6", "functional": "GGA+U", "state": "relaxed", "e_above_lowest_polymorph_ev_per_atom": 0.000, "lattice": [[4.2495, -5.6343, 0.0000], [4.2495, 5.6343, 0.0000], [0.0000, 0.0000, 5.1484]], "species": ["Mn", "Mn", "Mn", "Mn", "Mn", "Mn", "P", "P", "O", "O", "O", "O", "O", "O", "O", "O", "O", "O", "O", "O"], "frac_coords": [[0.0466, 0.9534, 0.5000], [0.1943, 0.4152, 0.5579], [0.4152, 0.1943, 0.0579], [0.5848, 0.8057, 0.5579], [0.8057, 0.5848, 0.0579], [0.9534, 0.0466, 0.0000], [0.3038, 0.6962, 0.1209], [0.6962, 0.3038, 0.6209], [0.0888, 0.6150, 0.2211], [0.1351, 0.1779, 0.2667], [0.1779, 0.1351, 0.7667], [0.3220, 0.6780, 0.8219], [0.3850, 0.9112, 0.2211], [0.4253, 0.5747, 0.2734], [0.5747, 0.4253, 0.7734], [0.6150, 0.0888, 0.7211], [0.6780, 0.3220, 0.3219], [0.8221, 0.8649, 0.2667], [0.8649, 0.8221, 0.7667], [0.9112, 0.3850, 0.7211]]}

---

{"formula": "MnP2O2", "functional": "GGA+U", "state": "relaxed", "e_above_lowest_polymorph_ev_per_atom": 0.900, "lattice": [[3.6458, 0.0000, 0.0000], [0.0000, 3.6458, 0.0000], [0.0000, 0.0000, 5.6109]], "species": ["Mn", "P", "P", "O", "O"], "frac_coords": [[0.0000, 0.0000, 0.0000], [0.0000, 0.5000, 0.5000], [0.5000, 0.0000, 0.5000], [0.5000, 0.5000, 0.0000], [0.5000, 0.5000, 0.5000]]}

---

{"formula": "Mn3PO", "functional": "GGA+U", "state": "relaxed", "e_above_lowest_polymorph_ev_per_atom": 0.000, "lattice": [[4.2986, 0.0000, 0.0000], [0.0000, 4.2986, 0.0000], [0.0000, 0.0000, 4.2986]], "species": ["Mn", "Mn", "Mn", "P", "O"], "frac_coords": [[0.0000, 0.0000, 0.5000], [0.0000, 0.5000, 0.0000], [0.5000, 0.0000, 0.0000], [0.5000, 0.5000, 0.5000], [0.0000, 0.0000, 0.0000]]}

---

What did the third record say?
{"formula": "MnP2O2", "functional": "GGA+U", "state": "relaxed", "e_above_lowest_polymorph_ev_per_atom": 0.900, "lattice": [[3.6458, 0.0000, 0.0000], [0.0000, 3.6458, 0.0000], [0.0000, 0.0000, 5.6109]], "species": ["Mn", "P", "P", "O", "O"], "frac_coords": [[0.0000, 0.0000, 0.0000], [0.0000, 0.5000, 0.5000], [0.5000, 0.0000, 0.5000], [0.5000, 0.5000, 0.0000], [0.5000, 0.5000, 0.5000]]}